PmZnPt after structural relaxation. Source: Alexandria via LeMat-Bulk, functional GGA-PBE.

Lattice parameters (Å, degrees): 4.4356 4.4356 3.7707 90.00 90.00 120.00
Space group P-6m2 (No. 187)
Unique sites:
Pm: 0.0000 0.0000 0.0000 [1 per cell]
Zn: 0.3333 0.6667 0.5000 [1 per cell]
Pt: 0.6667 0.3333 0.5000 [1 per cell]

Output
* volume: 64.2 Å³ per cell
* E_form: -846 meV per atom
* total magnetic moment: 0.000 μB per atom

---

PmZn3Pt2 after structural relaxation. Source: Alexandria via LeMat-Bulk, functional GGA-PBE.

Lattice parameters (Å, degrees): 15.012 4.138 8.107 90.00 117.08 90.00
Space group C2/m (No. 12)
Unique sites:
Pm: 0.141 0.000 0.043 [4 per cell]
Zn: 0.045 0.000 0.386 [4 per cell]
Zn: 0.101 0.500 0.700 [4 per cell]
Zn: 0.192 0.500 0.485 [4 per cell]
Pt: 0.029 0.500 0.181 [4 per cell]
Pt: 0.209 0.000 0.710 [4 per cell]

Output
* volume: 448.4 Å³ per cell
* E_form: -653 meV per atom
* total magnetic moment: 0.000 μB per atom

---

PmZn2Pt after structural relaxation. Source: Alexandria via LeMat-Bulk, functional GGA-PBE.

Lattice parameters (Å, degrees): 4.385 7.146 5.412 90.00 113.67 90.00
Space group P2_1/m (No. 11)
Unique sites:
Pm: 0.081 0.250 0.161 [2 per cell]
Zn: 0.368 0.059 0.734 [4 per cell]
Pt: 0.210 0.750 0.423 [2 per cell]

Output
* volume: 155.3 Å³ per cell
* E_form: -701 meV per atom
* total magnetic moment: 0.000 μB per atom

---

Pm2Zn7Pt after structural relaxation. Source: Alexandria via LeMat-Bulk, functional GGA-PBE.

Lattice parameters (Å, degrees): 4.142 4.142 10.991 90.00 90.00 90.00
Space group P-4m2 (No. 115)
Unique sites:
Pm: 0.000 0.500 0.248 [2 per cell]
Zn: 0.000 0.000 0.000 [1 per cell]
Zn: 0.000 0.000 0.500 [1 per cell]
Zn: 0.000 0.500 0.636 [2 per cell]
Zn: 0.000 0.500 0.861 [2 per cell]
Zn: 0.500 0.500 0.500 [1 per cell]
Pt: 0.500 0.500 0.000 [1 per cell]

Output
* volume: 188.6 Å³ per cell
* E_form: -411 meV per atom
* total magnetic moment: 0.000 μB per atom

---

Pm3Zn2Pt3 after structural relaxation. Source: Alexandria via LeMat-Bulk, functional GGA-PBE.

Lattice parameters (Å, degrees): 4.116 11.920 14.389 90.00 90.00 90.00
Space group Cmcm (No. 63)
Unique sites:
Pm: 0.000 0.078 0.108 [8 per cell]
Pm: 0.000 0.346 0.250 [4 per cell]
Zn: 0.000 0.226 0.584 [8 per cell]
Pt: 0.000 0.338 0.750 [4 per cell]
Pt: 0.000 0.397 0.047 [8 per cell]

Output
* volume: 705.9 Å³ per cell
* E_form: -928 meV per atom
* total magnetic moment: 0.000 μB per atom

---

Pm4Zn5Pt6 after structural relaxation. Source: Alexandria via LeMat-Bulk, functional GGA-PBE.

Lattice parameters (Å, degrees): 4.099 20.287 15.137 90.00 90.00 90.00
Space group Cmc2_1 (No. 36)
Unique sites:
Pm: 0.000 0.009 0.000 [4 per cell]
Pm: 0.000 0.035 0.259 [4 per cell]
Pm: 0.000 0.161 0.788 [4 per cell]
Pm: 0.000 0.187 0.426 [4 per cell]
Zn: 0.000 0.153 0.115 [4 per cell]
Zn: 0.000 0.305 0.098 [4 per cell]
Zn: 0.000 0.339 0.756 [4 per cell]
Zn: 0.000 0.360 0.470 [4 per cell]
Zn: 0.000 0.444 0.162 [4 per cell]
Pt: 0.000 0.116 0.599 [4 per cell]
Pt: 0.000 0.216 0.972 [4 per cell]
Pt: 0.000 0.236 0.241 [4 per cell]
Pt: 0.000 0.421 0.895 [4 per cell]
Pt: 0.000 0.427 0.620 [4 per cell]
Pt: 0.000 0.444 0.343 [4 per cell]

Output
* volume: 1258.7 Å³ per cell
* E_form: -811 meV per atom
* total magnetic moment: 0.000 μB per atom

---

Pm4ZnPt2 after structural relaxation. Source: Alexandria via LeMat-Bulk, functional GGA-PBE.

Lattice parameters (Å, degrees): 13.976 4.396 7.519 90.00 119.66 90.00
Space group C2/m (No. 12)
Unique sites:
Pm: 0.116 0.000 0.338 [4 per cell]
Pm: 0.149 0.500 0.783 [4 per cell]
Zn: 0.000 0.500 0.000 [2 per cell]
Pt: 0.215 0.500 0.224 [4 per cell]

Output
* volume: 401.4 Å³ per cell
* E_form: -692 meV per atom
* total magnetic moment: 0.000 μB per atom

---

Pm3ZnPt8 after structural relaxation. Source: Alexandria via LeMat-Bulk, functional GGA-PBE.

Lattice parameters (Å, degrees): 5.4607 5.4607 26.6751 90.00 90.00 120.00
Space group R3m (No. 160, hexagonal axes)
Unique sites:
Pm: 0.0000 0.0000 0.0000 [3 per cell]
Pm: 0.0000 0.0000 0.1296 [3 per cell]
Pm: 0.0000 0.0000 0.6115 [3 per cell]
Zn: 0.0000 0.0000 0.4828 [3 per cell]
Pt: 0.0000 0.0000 0.3106 [3 per cell]
Pt: 0.0000 0.0000 0.8112 [3 per cell]
Pt: 0.0030 0.5015 0.5609 [9 per cell]
Pt: 0.1670 0.3339 0.3937 [9 per cell]

Output
* volume: 688.9 Å³ per cell
* E_form: -944 meV per atom
* total magnetic moment: 0.000 μB per atom